Compound: Ho4ZnCo4
Source: the Alexandria database
Functional: PBE
Structure: optimized geometry

CIF file:
```
data_Ho4ZnCo4
_chemical_formula_sum 'Ho8 Zn2 Co8'
_symmetry_space_group_name_H-M 'P 42/n'
_symmetry_Int_Tables_number 86
_cell_length_a 8.151
_cell_length_b 8.151
_cell_length_c 5.363
_cell_angle_alpha 90.00
_cell_angle_beta 90.00
_cell_angle_gamma 90.00
loop_
_symmetry_equiv_pos_as_xyz
'x,y,z'
'-x,-y,-z'
'-y,x+1/2,z+1/2'
'y,-x+1/2,-z+1/2'
'-x+1/2,-y+1/2,z'
'x+1/2,y+1/2,-z'
'y+1/2,-x,z+1/2'
'-y+1/2,x,-z+1/2'
loop_
_atom_site_label
_atom_site_type_symbol
_atom_site_fract_x
_atom_site_fract_y
_atom_site_fract_z
Ho1 Ho 0.042 0.686 0.109
Zn1 Zn 0.250 0.250 0.250
Co1 Co 0.009 0.381 0.399
```

* calculated volume: 356.3 Å³/cell
* formation energy: -0.11 eV per atom
* E_tot: -98.0 eV for the cell shown